Here is a geometry-optimized Ho4SeI5 structure from the Alexandria database. Energies are from PBE.

**V**: 331.7 Å³ per cell
**Total magnetization**: 0.00 μB per cell
**SG**: C2/m (12)
**Electronic total energy**: -4.173 eV per atom

Lattice parameters (Å, degrees): 9.7383 9.7383 8.7932 103.94 103.94 24.23
Last column: nearest neighbours and their distance in Å.
Positions (direct):
Ho (0.0037, 0.0037, 0.2917)  2 Se 2.76, 1 I 3.07
Ho (0.3546, 0.3546, 0.4370)  1 Se 2.69
Ho (0.6454, 0.6454, 0.5630)  1 Se 2.69
Ho (0.9963, 0.9963, 0.7083)  2 Se 2.76, 1 I 3.07
Se (0.5000, 0.5000, 0.5000)  6 Ho 2.69-2.76
I (0.1618, 0.1618, 0.8307)  3 Ho 3.07
I (0.1745, 0.1745, 0.3191)  4 Ho 3.11-3.33
I (0.5000, 0.5000, 0.0000)  4 Ho 3.27
I (0.8255, 0.8255, 0.6809)  4 Ho 3.11-3.33
I (0.8382, 0.8382, 0.1693)  3 Ho 3.07